## Tl6IF5 (PBE-GGA)

Data for a relaxed structure of Tl6IF5.

Cell lengths 7.5960, 7.3960, 7.3959 Å; angles 122.49, 100.26, 100.26 degrees
Closest atoms and distances in Å follow each position.
Atoms (fractional coordinates):
1 I 0.0000 0.0000 0.0000  6 Tl 3.38-3.52, 2 F 3.79
2 Tl 0.7509 0.8812 0.5002  3 F 2.66-2.93
3 Tl 0.2491 0.4998 0.1188  3 F 2.66-2.93
4 Tl 0.3128 0.7390 0.7390  3 F 2.58-2.59
5 Tl 0.6872 0.2610 0.2610  3 F 2.58-2.59
6 Tl 0.7509 0.5002 0.8812  3 F 2.66-2.93
7 Tl 0.2491 0.1188 0.4998  3 F 2.66-2.93
8 F 0.5000 0.8636 0.1364  2 Tl 2.58
9 F 0.0000 0.7081 0.2919  4 Tl 2.66-2.72
10 F 0.5000 0.5000 0.5000  2 Tl 2.59
11 F 0.0000 0.2919 0.7081  4 Tl 2.66-2.72
12 F 0.5000 0.1364 0.8636  2 Tl 2.58

---

## Tl8IF6 (PBE-GGA)

Data for a relaxed structure of Tl8IF6.

Cell lengths 9.2886, 9.2886, 9.2886 Å; angles 60.00, 60.00, 60.00 degrees
Closest atoms and distances in Å follow each position.
Atoms (fractional coordinates):
1 Tl 0.5385 0.1538 0.1538  3 F 2.70
2 Tl 0.8462 0.8462 0.4615  3 F 2.70
3 Tl 0.1538 0.1538 0.5385  3 F 2.70
4 Tl 0.8462 0.8462 0.8462  3 F 2.70
5 Tl 0.1538 0.5385 0.1538  3 F 2.70
6 Tl 0.1538 0.1538 0.1538  3 F 2.70
7 Tl 0.8462 0.4615 0.8462  3 F 2.70
8 Tl 0.4615 0.8462 0.8462  3 F 2.70
9 I 0.0000 0.0000 0.0000  8 Tl 3.50
10 F 0.0000 0.5000 0.0000  4 Tl 2.70
11 F 0.0000 0.0000 0.5000  4 Tl 2.70
12 F 0.0000 0.5000 0.5000  4 Tl 2.70
13 F 0.5000 0.0000 0.5000  4 Tl 2.70
14 F 0.5000 0.5000 0.0000  4 Tl 2.70
15 F 0.5000 0.0000 0.0000  4 Tl 2.70

---

## TlIF6 (PBE-GGA)

Data for a relaxed structure of TlIF6.

Results
The energy relative to the lowest polymorph listed for this composition comes out at 0 meV/atom.

Cell lengths 5.3786, 5.3786, 5.3781 Å; angles 83.26, 83.26, 95.92 degrees
Closest atoms and distances in Å follow each position.
Atoms (fractional coordinates):
1 Tl 0.5000 0.5000 0.5000  12 F 3.00-3.34
2 I 0.0000 0.0000 0.0000  6 F 2.01
3 F 0.0888 0.7382 0.2637  1 I 2.01
4 F 0.7382 0.0888 0.2637  1 I 2.01
5 F 0.2618 0.9112 0.7363  1 I 2.01
6 F 0.9112 0.2618 0.7363  1 I 2.01
7 F 0.2621 0.2621 0.0821  1 I 2.01
8 F 0.7379 0.7379 0.9179  1 I 2.01

---

## Tl3I2F2 (PBE-GGA)

Data for a relaxed structure of Tl3I2F2.

Cell lengths 4.4019, 6.1400, 9.4810 Å; angles 80.86, 90.03, 89.88 degrees
Closest atoms and distances in Å follow each position.
Atoms (fractional coordinates):
1 Tl 0.0000 0.0000 0.0000  4 F 2.72-2.73
2 Tl 0.4995 0.4405 0.2209  2 F 2.50-2.56
3 Tl 0.5005 0.5595 0.7791  2 F 2.50-2.56
4 I 0.9998 0.0304 0.6723  1 Tl 3.08, 1 I 3.35
5 I 0.0002 0.9696 0.3277  1 Tl 3.08, 1 I 3.35
6 F 0.4985 0.2619 0.0013  4 Tl 2.50-2.73
7 F 0.5015 0.7381 0.9987  4 Tl 2.50-2.73

---

## TlIF (PBE-GGA)

Data for a relaxed structure of TlIF.

Results
The energy relative to the lowest polymorph listed for this composition comes out at 235 meV/atom.

Cell lengths 4.6337, 4.3803, 4.3803 Å; angles 120.00, 90.00, 90.00 degrees
Closest atoms and distances in Å follow each position.
Atoms (fractional coordinates):
1 I 0.6667 0.6667 0.3333  6 Tl 3.43, 6 F 3.43
2 Tl 0.1661 0.0000 0.0000  3 F 2.53
3 F 0.1673 0.3333 0.6667  3 Tl 2.53

---

## TlIF3 (PBE-GGA)

Data for a relaxed structure of TlIF3.

Results
The energy relative to the lowest polymorph listed for this composition comes out at 412 meV/atom.

Cell lengths 5.2757, 5.2757, 5.2757 Å; angles 93.55, 93.55, 93.55 degrees
Closest atoms and distances in Å follow each position.
Atoms (fractional coordinates):
1 Tl 0.2712 0.2712 0.2712  6 F 2.66-2.93
2 I 0.8422 0.8422 0.8422  3 F 2.30
3 F 0.7283 0.1417 0.1417  1 I 2.30
4 F 0.1417 0.7283 0.1417  1 I 2.30
5 F 0.1417 0.1417 0.7283  1 I 2.30

---

## TlIF3 (PBE-GGA)

Data for a relaxed structure of TlIF3.

Results
The energy relative to the lowest polymorph listed for this composition comes out at 268 meV/atom.

Cell lengths 4.8384, 4.8384, 4.8384 Å; angles 90.00, 90.00, 90.00 degrees
Closest atoms and distances in Å follow each position.
Atoms (fractional coordinates):
1 I 0.0000 0.0000 0.0000  6 F 2.42
2 Tl 0.5000 0.5000 0.5000  12 F 3.42
3 F 0.0000 0.5000 0.0000  2 I 2.42
4 F 0.0000 0.0000 0.5000  2 I 2.42
5 F 0.5000 0.0000 0.0000  2 I 2.42

---

## Tl3I2F (PBE-GGA)

Data for a relaxed structure of Tl3I2F.

Results
The energy relative to the lowest polymorph listed for this composition comes out at 44 meV/atom.

Cell lengths 7.0128, 9.2475, 8.1993 Å; angles 106.32, 115.32, 90.00 degrees
Closest atoms and distances in Å follow each position.
Atoms (fractional coordinates):
1 Tl 0.4284 0.2500 0.0000  1 F 2.46
2 Tl 0.5716 0.7500 0.0000  1 F 2.46
3 Tl 0.1314 0.0670 0.2623  2 F 3.00-3.02
4 Tl 0.8691 0.4330 0.7377  2 F 3.00-3.02
5 Tl 0.1309 0.5670 0.2623  2 F 3.00-3.02
6 Tl 0.8686 0.9330 0.7377  2 F 3.00-3.02
7 I 0.6873 0.5921 0.3701  6 Tl 3.47-3.61
8 I 0.6828 0.0921 0.3701  6 Tl 3.47-3.61
9 I 0.3172 0.9079 0.6299  6 Tl 3.47-3.61
10 I 0.3127 0.4079 0.6299  6 Tl 3.47-3.61
11 F 0.9221 0.7500 0.0000  1 Tl 2.46
12 F 0.0779 0.2500 0.0000  1 Tl 2.46

---

## Tl4IF3 (PBE-GGA)

Data for a relaxed structure of Tl4IF3.

Cell lengths 8.4740, 4.2048, 14.6322 Å; angles 89.99, 89.67, 89.89 degrees
Closest atoms and distances in Å follow each position.
Atoms (fractional coordinates):
1 I 0.3808 0.0607 0.0732  6 Tl 3.45-3.75
2 I 0.6189 0.5599 0.5728  6 Tl 3.43-3.76
3 Tl 0.0658 0.5636 0.9911  4 F 2.61-2.91
4 Tl 0.6510 0.5594 0.9706  2 F 2.71-2.73
5 Tl 0.7794 0.0610 0.7640  3 F 2.49-2.59
6 Tl 0.1786 0.5597 0.7023  4 F 2.57-2.67
7 Tl 0.3528 0.0620 0.4702  2 F 2.72-2.73
8 Tl 0.9367 0.0561 0.4914  4 F 2.62-2.92
9 Tl 0.2182 0.5600 0.2638  3 F 2.50-2.59
10 Tl 0.8202 0.0618 0.2021  4 F 2.57-2.67
11 F 0.8355 0.0610 0.0197  5 Tl 2.67-2.91
12 F 0.0181 0.0605 0.6639  4 Tl 2.49-2.62
13 F 0.9327 0.5603 0.8163  4 Tl 2.59-2.80
14 F 0.1669 0.5615 0.5198  5 Tl 2.67-2.92
15 F 0.9814 0.5613 0.1632  4 Tl 2.50-2.61
16 F 0.0631 0.0606 0.3155  4 Tl 2.59-2.78

---

## TlI2F (PBE-GGA)

Data for a relaxed structure of TlI2F.

Results
The energy relative to the lowest polymorph listed for this composition comes out at 124 meV/atom.

Cell lengths 5.4020, 5.4020, 5.4020 Å; angles 60.00, 60.00, 60.00 degrees
Closest atoms and distances in Å follow each position.
Atoms (fractional coordinates):
1 I 0.2500 0.2500 0.2500  4 Tl 3.31, 4 F 3.31
2 I 0.7500 0.7500 0.7500  4 Tl 3.31, 4 F 3.31
3 Tl 0.5000 0.5000 0.5000  8 I 3.31
4 F 0.0000 0.0000 0.0000  8 I 3.31

---

## TlIF3 (PBE-GGA)

Data for a relaxed structure of TlIF3.

Results
The energy relative to the lowest polymorph listed for this composition comes out at 0 meV/atom.

Cell lengths 6.9803, 5.2295, 5.5992 Å; angles 90.00, 90.00, 98.59 degrees
Closest atoms and distances in Å follow each position.
Atoms (fractional coordinates):
1 Tl 0.4539 0.7902 0.2500  5 F 2.11-2.27
2 Tl 0.5461 0.2098 0.7500  5 F 2.11-2.27
3 I 0.0436 0.4437 0.2500  2 I 2.94, 1 Tl 3.15, 1 F 3.27
4 I 0.9564 0.5563 0.7500  2 I 2.94, 1 Tl 3.15, 1 F 3.27
5 F 0.6921 0.9774 0.4976  2 Tl 2.21-2.27
6 F 0.3079 0.0226 0.5024  2 Tl 2.21-2.27
7 F 0.6921 0.9774 0.0024  2 Tl 2.21-2.27
8 F 0.3079 0.0226 0.9976  2 Tl 2.21-2.27
9 F 0.5747 0.4437 0.2500  1 Tl 2.11
10 F 0.4253 0.5563 0.7500  1 Tl 2.11

---

## TlIF2 (PBE-GGA)

Data for a relaxed structure of TlIF2.

Results
The energy relative to the lowest polymorph listed for this composition comes out at 577 meV/atom.

Cell lengths 4.8424, 4.8424, 4.8424 Å; angles 60.00, 60.00, 60.00 degrees
Closest atoms and distances in Å follow each position.
Atoms (fractional coordinates):
1 I 0.0000 0.0000 0.0000  8 F 2.97
2 Tl 0.5000 0.5000 0.5000  8 F 2.97
3 F 0.2500 0.2500 0.2500  4 Tl 2.97, 4 I 2.97
4 F 0.7500 0.7500 0.7500  4 Tl 2.97, 4 I 2.97

---

## TlIF (PBE-GGA)

Data for a relaxed structure of TlIF.

Results
The energy relative to the lowest polymorph listed for this composition comes out at 0 meV/atom.

Cell lengths 7.4078, 8.5332, 7.5575 Å; angles 55.46, 90.00, 90.00 degrees
Closest atoms and distances in Å follow each position.
Atoms (fractional coordinates):
1 Tl 0.8865 0.8924 0.7826  3 F 2.57-2.66
2 Tl 0.3865 0.6076 0.7174  3 F 2.57-2.66
3 Tl 0.1135 0.1076 0.2174  3 F 2.57-2.66
4 Tl 0.6135 0.3924 0.2826  3 F 2.57-2.66
5 F 0.7905 0.0850 0.3857  3 Tl 2.57-2.66, 1 I 2.62
6 F 0.2905 0.4150 0.1143  3 Tl 2.57-2.66, 1 I 2.62
7 F 0.2095 0.9150 0.6143  3 Tl 2.57-2.66, 1 I 2.62
8 F 0.7095 0.5850 0.8857  3 Tl 2.57-2.66, 1 I 2.62
9 I 0.6020 0.0200 0.1404  1 F 2.62, 1 I 2.78
10 I 0.1020 0.4800 0.3596  1 F 2.62, 1 I 2.78
11 I 0.3980 0.9800 0.8596  1 F 2.62, 1 I 2.78
12 I 0.8980 0.5200 0.6404  1 F 2.62, 1 I 2.78

---

## Tl5I2F3 (PBE-GGA)

Data for a relaxed structure of Tl5I2F3.

Cell lengths 4.5600, 8.2104, 10.2681 Å; angles 65.81, 77.17, 73.88 degrees
Closest atoms and distances in Å follow each position.
Atoms (fractional coordinates):
1 Tl 0.0000 0.0000 0.0000  2 F 2.73
2 Tl 0.0986 0.2353 0.5676  1 F 2.50
3 Tl 0.9014 0.7647 0.4324  1 F 2.50
4 Tl 0.6341 0.4976 0.2341  3 F 2.63-2.67
5 Tl 0.3659 0.5024 0.7659  3 F 2.63-2.67
6 I 0.3318 0.1050 0.2313  7 Tl 3.53-3.87
7 I 0.6682 0.8950 0.7687  7 Tl 3.53-3.87
8 F 0.5000 0.5000 0.5000  2 Tl 2.67
9 F 0.0555 0.6683 0.2208  4 Tl 2.50-2.73
10 F 0.9445 0.3317 0.7792  4 Tl 2.50-2.73

---

## TlIF2 (PBE-GGA)

Data for a relaxed structure of TlIF2.

Results
The energy relative to the lowest polymorph listed for this composition comes out at 385 meV/atom.

Cell lengths 5.4932, 5.4932, 7.9672 Å; angles 69.83, 69.83, 90.00 degrees
Closest atoms and distances in Å follow each position.
Atoms (fractional coordinates):
1 I 0.5000 0.5000 0.0000  8 F 3.51-3.55, 4 Tl 3.88
2 I 0.2500 0.7500 0.5000  8 F 3.51-3.55, 4 Tl 3.88
3 Tl 0.0000 0.0000 0.0000  4 F 2.22
4 Tl 0.7500 0.2500 0.5000  4 F 2.22
5 F 0.8705 0.1250 0.2500  2 Tl 2.22
6 F 0.8795 0.6250 0.2500  2 Tl 2.22
7 F 0.3750 0.1295 0.7500  2 Tl 2.22
8 F 0.8750 0.1205 0.7500  2 Tl 2.22

---

## TlIF4 (PBE-GGA)

Data for a relaxed structure of TlIF4.

Cell lengths 5.3637, 7.2169, 8.6292 Å; angles 105.83, 90.00, 111.81 degrees
Closest atoms and distances in Å follow each position.
Atoms (fractional coordinates):
1 Tl 0.1739 0.0000 0.2500  6 F 2.73-2.90
2 Tl 0.8261 0.0000 0.7500  6 F 2.73-2.90
3 I 0.5000 0.5000 0.0000  4 F 2.05-2.06
4 I 0.0000 0.5000 0.5000  4 F 2.05-2.06
5 F 0.4035 0.7119 0.1748  1 I 2.05
6 F 0.6917 0.2881 0.3252  1 I 2.05
7 F 0.5965 0.2881 0.8252  1 I 2.05
8 F 0.3083 0.7119 0.6748  1 I 2.05
9 F 0.9357 0.7467 0.4559  1 I 2.06
10 F 0.1890 0.2533 0.0441  1 I 2.06
11 F 0.0643 0.2533 0.5441  1 I 2.06
12 F 0.8110 0.7467 0.9559  1 I 2.06

---

## Tl2IF6 (PBE-GGA)

Data for a relaxed structure of Tl2IF6.

Cell lengths 4.4429, 6.6828, 6.6828 Å; angles 59.95, 90.00, 90.00 degrees
Closest atoms and distances in Å follow each position.
Atoms (fractional coordinates):
1 Tl 0.7093 0.6667 0.6667  6 F 2.89-2.97
2 Tl 0.2907 0.3333 0.3333  6 F 2.89-2.97
3 I 0.0000 0.0000 0.0000  6 F 2.13
4 F 0.1965 0.3366 0.8315  1 I 2.13
5 F 0.1963 0.8318 0.8318  1 I 2.13
6 F 0.1965 0.8315 0.3366  1 I 2.13
7 F 0.8035 0.6634 0.1685  1 I 2.13
8 F 0.8037 0.1682 0.1682  1 I 2.13
9 F 0.8035 0.1685 0.6634  1 I 2.13

---

## Tl3I2F (PBE-GGA)

Data for a relaxed structure of Tl3I2F.

Results
The energy relative to the lowest polymorph listed for this composition comes out at 0 meV/atom.

Cell lengths 4.7494, 13.6195, 14.4224 Å; angles 90.00, 90.00, 90.00 degrees
Closest atoms and distances in Å follow each position.
Atoms (fractional coordinates):
1 Tl 0.7500 0.9302 0.8624  1 F 2.57
2 Tl 0.7500 0.4302 0.6376  1 F 2.57
3 Tl 0.2500 0.0698 0.1376  1 F 2.57
4 Tl 0.2500 0.5698 0.3624  1 F 2.57
5 Tl 0.7500 0.6392 0.9360  1 F 2.53
6 Tl 0.7500 0.1392 0.5640  1 F 2.53
7 Tl 0.2500 0.3608 0.0640  1 F 2.53
8 Tl 0.2500 0.8608 0.4360  1 F 2.53
9 Tl 0.7500 0.7697 0.2069  2 F 2.74
10 Tl 0.7500 0.2697 0.2931  2 F 2.74
11 Tl 0.2500 0.2303 0.7931  2 F 2.74
12 Tl 0.2500 0.7303 0.7069  2 F 2.74
13 I 0.7500 0.1810 0.9876  7 Tl 3.55-3.86
14 I 0.7500 0.6810 0.5124  7 Tl 3.55-3.86
15 I 0.2500 0.8190 0.0124  7 Tl 3.55-3.86
16 I 0.2500 0.3190 0.4876  7 Tl 3.55-3.86
17 I 0.7500 0.0066 0.3149  6 Tl 3.55-3.60
18 I 0.7500 0.5066 0.1851  6 Tl 3.55-3.60
19 I 0.2500 0.9934 0.6851  6 Tl 3.55-3.60
20 I 0.2500 0.4934 0.8149  6 Tl 3.55-3.60
21 F 0.7500 0.7543 0.7986  4 Tl 2.53-2.74
22 F 0.7500 0.2543 0.7014  4 Tl 2.53-2.74
23 F 0.2500 0.2457 0.2014  4 Tl 2.53-2.74
24 F 0.2500 0.7457 0.2986  4 Tl 2.53-2.74

---

## Tl5I4F (PBE-GGA)

Data for a relaxed structure of Tl5I4F.

Cell lengths 4.9444, 4.9444, 17.3055 Å; angles 98.21, 98.21, 90.00 degrees
Closest atoms and distances in Å follow each position.
Atoms (fractional coordinates):
1 Tl 0.0789 0.0789 0.1578  1 F 2.67
2 Tl 0.5000 0.5000 0.0000  2 I 3.33, 4 F 3.50
3 Tl 0.9211 0.9211 0.8422  1 F 2.67
4 Tl 0.2974 0.2974 0.5947  6 I 3.51-3.56
5 Tl 0.7026 0.7026 0.4053  6 I 3.51-3.56
6 I 0.4017 0.4017 0.8033  6 Tl 3.33-3.56
7 I 0.8077 0.8077 0.6154  6 Tl 3.51-3.84
8 I 0.1923 0.1923 0.3846  6 Tl 3.51-3.84
9 I 0.5983 0.5983 0.1967  6 Tl 3.33-3.56
10 F 0.0000 0.0000 0.0000  2 Tl 2.67

---

## Tl3IF2 (PBE-GGA)

Data for a relaxed structure of Tl3IF2.

Cell lengths 6.4317, 7.9684, 7.5761 Å; angles 100.07, 90.00, 90.00 degrees
Closest atoms and distances in Å follow each position.
Atoms (fractional coordinates):
1 Tl 0.7500 0.5812 0.8530  4 F 2.63-2.65
2 Tl 0.2500 0.4188 0.1470  4 F 2.63-2.65
3 Tl 0.7500 0.0823 0.8714  2 F 2.49
4 Tl 0.2500 0.9177 0.1286  2 F 2.49
5 Tl 0.7500 0.7372 0.3947  2 F 2.57
6 Tl 0.2500 0.2628 0.6053  2 F 2.57
7 I 0.7500 0.1584 0.3493  4 Tl 3.43-3.77
8 I 0.2500 0.8416 0.6507  4 Tl 3.43-3.77
9 F 0.9993 0.6785 0.1265  4 Tl 2.49-2.65
10 F 0.4993 0.3215 0.8735  4 Tl 2.49-2.65
11 F 0.0007 0.3215 0.8735  4 Tl 2.49-2.65
12 F 0.5007 0.6785 0.1265  4 Tl 2.49-2.65

---

In eV/atom, the energy values for the records above are, in order, -3.5999; -3.4564; -3.5853; -3.1136; -2.8455; -2.8590; -3.0030; -2.9896; -3.5215; -2.0898; -3.2711; -2.6909; -3.0802; -3.3519; -2.8822; -3.4999; -3.5105; -3.0337; -2.8055; -3.4567.